Here is a geometry-optimized BeTlZnF6 structure from Alexandria via LeMat-Bulk. Energies are from PBE.

Cell: 5.139 5.139 5.092 Å, 90.00 90.00 120.00°
Fractional positions:
Be1 0.000 0.000 0.000
Tl1 0.333 0.667 0.500
Zn1 0.667 0.333 0.000
F1 0.296 0.020 0.201
F2 0.296 0.275 0.799
F3 0.725 0.020 0.799
F4 0.725 0.704 0.201
F5 0.980 0.275 0.201
F6 0.980 0.704 0.799

Calculated values
Total moment, μB per formula unit: 0.0
Raw formation energy, eV per atom: -2.303